A geometry-optimized KMn2F structure, computed with PBE+U.

Values from the calculation:
DOS(E_F) (states/eV/cell): 0.97
Distance to the lowest polymorph of the same formula (meV per atom): 461

Lattice parameters (Å, degrees): 5.4428 5.4428 5.4428 60.00 60.00 60.00
Closest atoms and distances in Å follow each position.
Element x y z (fractional)
F (0.0000, 0.0000, 0.0000)  8 Mn 3.33
Mn (0.2500, 0.2500, 0.2500)  4 F 3.33, 4 K 3.33
Mn (0.7500, 0.7500, 0.7500)  4 K 3.33, 4 F 3.33
K (0.5000, 0.5000, 0.5000)  8 Mn 3.33

***

A geometry-optimized K3Mn2F6 structure, computed with PBE+U.

Values from the calculation:
DOS(E_F) (states/eV/cell): 2.50
Final energy (eV per cell): -56.81

Lattice parameters (Å, degrees): 4.2734 4.2734 10.9761 101.23 101.23 90.00
Closest atoms and distances in Å follow each position.
Element x y z (fractional)
Mn (0.4094, 0.4094, 0.8188)  5 F 2.14
K (0.8154, 0.8153, 0.6307)  5 F 2.60-2.91
F (0.4088, 0.9088, 0.8175)  2 Mn 2.14
F (0.9088, 0.4088, 0.8175)  2 Mn 2.14
F (0.5912, 0.0912, 0.1825)  2 Mn 2.14
Mn (0.5906, 0.5906, 0.1812)  5 F 2.14
F (0.6922, 0.6922, 0.3845)  1 Mn 2.14
F (0.3078, 0.3078, 0.6155)  1 Mn 2.14
F (0.0912, 0.5912, 0.1825)  2 Mn 2.14
K (0.0000, 0.0000, 0.0000)  8 F 2.88
K (0.1846, 0.1847, 0.3693)  5 F 2.60-2.91

***

A geometry-optimized K2MnMoF6 structure, computed with PBE+U.

Values from the calculation:
Final energy (eV per cell): -105.24

Lattice parameters (Å, degrees): 6.0175 6.1976 8.7098 90.00 90.00 90.00
Closest atoms and distances in Å follow each position.
Element x y z (fractional)
Mo (0.5000, 0.2498, 0.5000)  6 F 2.20-2.24
F (0.2523, 0.4935, 0.0000)  1 Mn 2.12, 1 Mo 2.20
F (0.5000, 0.2501, 0.2423)  1 Mn 2.11, 1 Mo 2.24
F (0.2522, 0.0069, 0.0000)  1 Mn 2.12, 1 Mo 2.20
F (0.2478, 0.9931, 0.5000)  1 Mn 2.12, 1 Mo 2.20
F (0.5000, 0.2501, 0.7577)  1 Mn 2.11, 1 Mo 2.24
K (0.5000, 0.7499, 0.2459)  12 F 3.01-3.10
F (0.0000, 0.7499, 0.7423)  1 Mn 2.11, 1 Mo 2.24
F (0.2477, 0.5065, 0.5000)  1 Mn 2.12, 1 Mo 2.20
K (0.0000, 0.2501, 0.2541)  12 F 3.01-3.10
K (0.0000, 0.2501, 0.7459)  12 F 3.01-3.10
F (0.7522, 0.9931, 0.5000)  1 Mn 2.12, 1 Mo 2.20
K (0.5000, 0.7499, 0.7541)  12 F 3.01-3.10
F (0.0000, 0.7499, 0.2577)  1 Mn 2.11, 1 Mo 2.24
F (0.7523, 0.5065, 0.5000)  1 Mn 2.12, 1 Mo 2.20
F (0.7478, 0.0069, 0.0000)  1 Mn 2.12, 1 Mo 2.20
F (0.7477, 0.4935, 0.0000)  1 Mn 2.12, 1 Mo 2.20
Mn (0.5000, 0.2501, 0.0000)  6 F 2.11-2.12
Mo (0.0000, 0.7502, 0.0000)  6 F 2.20-2.24
Mn (0.0000, 0.7499, 0.5000)  6 F 2.11-2.12

***

A geometry-optimized KMnN2F structure, computed with PBE+U.

Values from the calculation:
DOS(E_F) (states/eV/cell): 2.22
Distance to the lowest polymorph of the same formula (meV per atom): 0

Lattice parameters (Å, degrees): 3.8169 3.8169 4.9726 90.00 90.00 90.00
Closest atoms and distances in Å follow each position.
Element x y z (fractional)
K (0.5000, 0.5000, 0.5000)  4 F 2.70
Mn (0.0000, 0.0000, 0.0000)  4 N 1.91
N (0.5000, 0.0000, 0.0000)  2 Mn 1.91
N (0.0000, 0.5000, 0.0000)  2 Mn 1.91
F (0.0000, 0.0000, 0.5000)  2 Mn 2.49, 4 K 2.70

***

A geometry-optimized KMnN2F structure, computed with PBE+U.

Values from the calculation:
DOS(E_F) (states/eV/cell): 2.07
Distance to the lowest polymorph of the same formula (meV per atom): 1655

Lattice parameters (Å, degrees): 4.9071 4.9071 4.5507 90.00 90.00 90.00
Closest atoms and distances in Å follow each position.
Element x y z (fractional)
F (0.0000, 0.0000, 0.5000)  2 K 2.28
N (0.5000, 0.0000, 0.0000)  2 K 2.45
K (0.0000, 0.0000, 0.0000)  2 F 2.28, 4 N 2.45
Mn (0.5000, 0.5000, 0.5000)  8 N 3.35, 4 F 3.47
N (0.0000, 0.5000, 0.0000)  2 K 2.45

***

A geometry-optimized KNaMnF6 structure, computed with PBE+U.

Values from the calculation:
DOS(E_F) (states/eV/cell): 0.00
Final energy (eV per cell): -44.29

Lattice parameters (Å, degrees): 5.3873 5.6701 5.6701 120.00 90.00 90.00
Closest atoms and distances in Å follow each position.
Element x y z (fractional)
F (0.6955, 0.9914, 0.2642)  1 Mn 1.85
F (0.3045, 0.7358, 0.0086)  1 Mn 1.85
Na (0.5000, 0.6667, 0.3333)  6 F 2.32
F (0.6955, 0.7358, 0.7273)  1 Mn 1.85
Mn (0.5000, 0.0000, 0.0000)  6 F 1.85
F (0.6955, 0.2727, 0.0086)  1 Mn 1.85
F (0.3045, 0.9914, 0.7273)  1 Mn 1.85
F (0.3045, 0.2727, 0.2642)  1 Mn 1.85
K (0.0000, 0.3333, 0.6667)  6 F 2.69

***

A geometry-optimized K3Na2MnF8 structure, computed with PBE+U.

Values from the calculation:
DOS(E_F) (states/eV/cell): 6.72
Final energy (eV per cell): -63.46

Lattice parameters (Å, degrees): 5.8188 5.8188 8.0141 90.00 90.00 120.00
Closest atoms and distances in Å follow each position.
Element x y z (fractional)
K (0.3333, 0.6667, 0.6275)  1 F 2.45
F (0.6919, 0.8459, 0.3587)  1 Mn 1.92
K (0.0000, 0.0000, 0.0000)  12 F 3.27-3.40
Na (0.3333, 0.6667, 0.1949)  4 F 2.10-2.23
F (0.3333, 0.6667, 0.9332)  1 Na 2.10
Na (0.6667, 0.3333, 0.8051)  4 F 2.10-2.23
F (0.8459, 0.6919, 0.6413)  1 Mn 1.92
F (0.6667, 0.3333, 0.0668)  1 Na 2.10
F (0.1541, 0.3081, 0.3587)  1 Mn 1.92
Mn (0.0000, 0.0000, 0.5000)  6 F 1.92
K (0.6667, 0.3333, 0.3725)  1 F 2.45
F (0.3081, 0.1541, 0.6413)  1 Mn 1.92
F (0.1541, 0.8459, 0.3587)  1 Mn 1.92
F (0.8459, 0.1541, 0.6413)  1 Mn 1.92

***

A geometry-optimized KNaMn2F8 structure, computed with PBE+U.

Values from the calculation:
Final energy (eV per cell): -60.93

Lattice parameters (Å, degrees): 5.8873 5.8873 7.3040 90.00 90.00 120.00
Closest atoms and distances in Å follow each position.
Element x y z (fractional)
F (0.0665, 0.3238, 0.6993)  1 Mn 1.88
F (0.2573, 0.9335, 0.6993)  1 Mn 1.88
F (0.7427, 0.0665, 0.3007)  1 Mn 1.88
F (0.3333, 0.6667, 0.9992)  1 Mn 1.78
F (0.6762, 0.7427, 0.6993)  1 Mn 1.88
F (0.3238, 0.2573, 0.3007)  1 Mn 1.88
Na (0.0000, 0.0000, 0.5000)  6 F 2.27
K (0.0000, 0.0000, 0.0000)  6 F 2.80
Mn (0.6667, 0.3333, 0.2442)  4 F 1.78-1.88
F (0.6667, 0.3333, 0.0008)  1 Mn 1.78
F (0.9335, 0.6762, 0.3007)  1 Mn 1.88
Mn (0.3333, 0.6667, 0.7558)  4 F 1.78-1.88